1.
First-principles (PBE) data for crystalline Ce2AgSn4Au3 at its relaxed geometry, as listed in Alexandria via LeMat-Bulk.

Calculated values
* density of states at the Fermi level: 17.76 states/eV/f.u.
* space group: P-4m2
* energy: -4.504 eV/atom
* DFT formation energy: -0.45 eV per atom
* calculated volume: 246.0 Å³/cell

The structure in CIF format:
```
data_Ce2AgSn4Au3
_chemical_formula_sum 'Ce2 Ag1 Sn4 Au3'
_symmetry_space_group_name_H-M 'P 1'
_symmetry_Int_Tables_number 1
_cell_length_a 4.5933
_cell_length_b 4.5933
_cell_length_c 11.6591
_cell_angle_alpha 90.00
_cell_angle_beta 90.00
_cell_angle_gamma 90.00
loop_
_symmetry_equiv_pos_as_xyz
'x,y,z'
loop_
_atom_site_label
_atom_site_type_symbol
_atom_site_fract_x
_atom_site_fract_y
_atom_site_fract_z
_atom_site_occupancy
Au1 Au 0.0000 0.0000 0.5000 1
Au2 Au 0.0000 0.5000 0.1406 1
Au3 Au 0.5000 0.0000 0.8594 1
Sn1 Sn 0.0000 0.5000 0.3669 1
Sn2 Sn 0.0000 0.0000 0.0000 1
Sn3 Sn 0.5000 0.5000 0.0000 1
Sn4 Sn 0.5000 0.0000 0.6331 1
Ag1 Ag 0.5000 0.5000 0.5000 1
Ce1 Ce 0.5000 0.0000 0.2620 1
Ce2 Ce 0.0000 0.5000 0.7380 1
```

***

2.
First-principles (PBE) data for crystalline CaLaCl3 at its relaxed geometry, as listed in Alexandria via LeMat-Bulk.

Calculated values
* E_form (uncorrected): -1.52 eV/atom
* density of states at the Fermi level: 7.44 states/eV/f.u.
* space group: Pm-3m
* energy: -4.010 eV/atom
* calculated volume: 149.5 Å³/cell

The structure in CIF format:
```
data_CaLaCl3
_chemical_formula_sum 'Ca1 La1 Cl3'
_symmetry_space_group_name_H-M 'P 1'
_symmetry_Int_Tables_number 1
_cell_length_a 5.3079
_cell_length_b 5.3079
_cell_length_c 5.3079
_cell_angle_alpha 90.00
_cell_angle_beta 90.00
_cell_angle_gamma 90.00
loop_
_symmetry_equiv_pos_as_xyz
'x,y,z'
loop_
_atom_site_label
_atom_site_type_symbol
_atom_site_fract_x
_atom_site_fract_y
_atom_site_fract_z
_atom_site_occupancy
Cl1 Cl 0.5000 0.0000 0.0000 1
Cl2 Cl 0.0000 0.5000 0.0000 1
Cl3 Cl 0.0000 0.0000 0.5000 1
La1 La 0.5000 0.5000 0.5000 1
Ca1 Ca 0.0000 0.0000 0.0000 1
```

***

3.
First-principles (PBE) data for crystalline Li2Ni5P4 at its relaxed geometry, as listed in Alexandria via LeMat-Bulk.

Calculated values
* density of states at the Fermi level: 5.74 states/eV/f.u.
* space group: Fmmm
* energy: -5.373 eV/atom
* DFT formation energy: -0.43 eV per atom
* calculated volume: 150.8 Å³/cell

The structure in CIF format:
```
data_Li2Ni5P4
_chemical_formula_sum 'Li2 Ni5 P4'
_symmetry_space_group_name_H-M 'P 1'
_symmetry_Int_Tables_number 1
_cell_length_a 4.9774
_cell_length_b 5.1467
_cell_length_c 7.1725
_cell_angle_alpha 80.34
_cell_angle_beta 69.70
_cell_angle_gamma 61.08
loop_
_symmetry_equiv_pos_as_xyz
'x,y,z'
loop_
_atom_site_label
_atom_site_type_symbol
_atom_site_fract_x
_atom_site_fract_y
_atom_site_fract_z
_atom_site_occupancy
P1 P 0.5305 0.6849 0.2542 1
P2 P 0.4695 0.3151 0.7458 1
P3 P 0.2153 0.3151 0.2542 1
P4 P 0.7847 0.6849 0.7458 1
Ni1 Ni 0.5000 0.5000 0.0000 1
Ni2 Ni 0.5000 0.0000 0.0000 1
Ni3 Ni 0.0000 0.5000 0.0000 1
Ni4 Ni 0.7500 0.5000 0.5000 1
Ni5 Ni 0.2500 0.5000 0.5000 1
Li1 Li 0.8791 0.0000 0.2419 1
Li2 Li 0.1209 0.0000 0.7581 1
```

***

4.
First-principles (PBE) data for crystalline Zr2CdCo at its relaxed geometry, as listed in Alexandria via LeMat-Bulk.

Calculated values
* density of states at the Fermi level: 3.92 states/eV/f.u.
* space group: Cm
* energy: -6.318 eV/atom
* DFT formation energy: -0.04 eV per atom
* calculated volume: 77.1 Å³/cell

The structure in CIF format:
```
data_Zr2CdCo
_chemical_formula_sum 'Zr2 Cd1 Co1'
_symmetry_space_group_name_H-M 'P 1'
_symmetry_Int_Tables_number 1
_cell_length_a 5.7839
_cell_length_b 5.7839
_cell_length_c 4.7506
_cell_angle_alpha 65.71
_cell_angle_beta 65.71
_cell_angle_gamma 32.47
loop_
_symmetry_equiv_pos_as_xyz
'x,y,z'
loop_
_atom_site_label
_atom_site_type_symbol
_atom_site_fract_x
_atom_site_fract_y
_atom_site_fract_z
_atom_site_occupancy
Zr1 Zr 0.7471 0.7471 0.7548 1
Zr2 Zr 0.9565 0.9565 0.0459 1
Cd1 Cd 0.5383 0.5383 0.4643 1
Co1 Co 0.2580 0.2580 0.2351 1
```